The following is a DFT calculation (PBE-GGA) of a relaxed structure of Cu2AgPb.

For the spin magnetization, the calculation gives 0.000 μB/atom. Its formation energy is 400 meV/atom. As for the calculated density: 9.56 g cm⁻³.

The structure belongs to space group I-42d (No. 122); the cell edges are 7.406, 7.406 and 5.601 Å and the angles 90.00°, 90.00° and 90.00°. The distinct sites, in fractional coordinates, are Cu at (0.237, 0.250, 0.125), Ag at (0.000, 0.000, 0.000) and Pb at (0.000, 0.000, 0.500).